Entry 1:
The following is a GGA-PBE calculation of a relaxed H3PdRh crystal, from the Alexandria database.

Computed properties:
Distance to the lowest polymorph of the same formula (meV per atom): 284
E_tot (eV for the cell shown): -21.34

The structure in CIF format:
```
data_H3PdRh
_symmetry_space_group_name_H-M 'P m -3 m'
_symmetry_Int_Tables_number 221
_symmetry_space_group_name_Hall '-P 4 2 3'
_cell_length_a 3.4427
_cell_length_b 3.4427
_cell_length_c 3.4427
_cell_angle_alpha 90.00
_cell_angle_beta 90.00
_cell_angle_gamma 90.00
loop_
_atom_site_label
_atom_site_fract_x
_atom_site_fract_y
_atom_site_fract_z
H1 0.0000 0.0000 0.5000
Pd1 0.0000 0.0000 0.0000
Rh1 0.5000 0.5000 0.5000
```

Entry 2:
The following is a GGA-PBE calculation of a relaxed H3PdRh crystal, from the Alexandria database.

Computed properties:
Distance to the lowest polymorph of the same formula (meV per atom): 111
E_tot (eV for the cell shown): -22.20

The structure in CIF format:
```
data_H3PdRh
_symmetry_space_group_name_H-M 'P m -3 m'
_symmetry_Int_Tables_number 221
_symmetry_space_group_name_Hall '-P 4 2 3'
_cell_length_a 3.4305
_cell_length_b 3.4305
_cell_length_c 3.4305
_cell_angle_alpha 90.00
_cell_angle_beta 90.00
_cell_angle_gamma 90.00
loop_
_atom_site_label
_atom_site_fract_x
_atom_site_fract_y
_atom_site_fract_z
H1 0.0000 0.0000 0.5000
Pd1 0.5000 0.5000 0.5000
Rh1 0.0000 0.0000 0.0000
```

Entry 3:
The following is a GGA-PBE calculation of a relaxed H6Pd5Rh crystal, from the Alexandria database.

Computed properties:
E_tot (eV for the cell shown): -108.25

The structure in CIF format:
```
data_H6Pd5Rh
_symmetry_space_group_name_H-M 'C 1 2/m 1'
_symmetry_Int_Tables_number 12
_cell_length_a 5.0895
_cell_length_b 8.6945
_cell_length_c 5.0867
_cell_angle_alpha 90.00
_cell_angle_beta 110.58
_cell_angle_gamma 90.00
loop_
_symmetry_equiv_pos_as_xyz
'x,y,z'
'-x,-y,-z'
'-x,y,-z'
'x,-y,z'
'x+1/2,y+1/2,z'
'-x+1/2,-y+1/2,-z'
'-x+1/2,y+1/2,-z'
'x+1/2,-y+1/2,z'
loop_
_atom_site_label
_atom_site_fract_x
_atom_site_fract_y
_atom_site_fract_z
H1 0.2191 0.1489 0.2467
H2 0.2359 0.0000 0.7896
Pd1 0.0000 0.1656 0.5000
Pd2 0.0000 0.3337 0.0000
Pd3 0.0000 0.5000 0.5000
Rh1 0.0000 0.0000 0.0000
```

Entry 4:
The following is a GGA-PBE calculation of a relaxed H5Pd4Rh crystal, from the Alexandria database.

Computed properties:
E_tot (eV for the cell shown): -90.77

The structure in CIF format:
```
data_H5Pd4Rh
_symmetry_space_group_name_H-M 'I 4'
_symmetry_Int_Tables_number 79
_cell_length_a 6.4730
_cell_length_b 6.4730
_cell_length_c 4.2214
_cell_angle_alpha 90.00
_cell_angle_beta 90.00
_cell_angle_gamma 90.00
loop_
_symmetry_equiv_pos_as_xyz
'x,y,z'
'-y,x,z'
'-x,-y,z'
'y,-x,z'
'x+1/2,y+1/2,z+1/2'
'-y+1/2,x+1/2,z+1/2'
'-x+1/2,-y+1/2,z+1/2'
'y+1/2,-x+1/2,z+1/2'
loop_
_atom_site_label
_atom_site_fract_x
_atom_site_fract_y
_atom_site_fract_z
H1 0.0000 0.0000 0.0000
H2 0.0754 0.7279 0.5209
Pd1 0.1020 0.6992 0.0772
Rh1 0.0000 0.0000 0.5834
```

Entry 5:
The following is a GGA-PBE calculation of a relaxed H6PdRh2 crystal, from the Alexandria database.

Computed properties:
Distance to the lowest polymorph of the same formula (meV per atom): 99
E_tot (eV for the cell shown): -77.56

The structure in CIF format:
```
data_H6PdRh2
_symmetry_space_group_name_H-M 'I -4 2 m'
_symmetry_Int_Tables_number 121
_symmetry_space_group_name_Hall 'I -4 2'
_cell_length_a 3.0799
_cell_length_b 3.0799
_cell_length_c 14.4253
_cell_angle_alpha 90.00
_cell_angle_beta 90.00
_cell_angle_gamma 90.00
loop_
_atom_site_label
_atom_site_fract_x
_atom_site_fract_y
_atom_site_fract_z
H1 0.0000 0.5000 0.2500
H2 0.2035 0.2035 0.4197
Pd1 0.0000 0.0000 0.0000
Rh1 0.0000 0.0000 0.3242
```

Entry 6:
The following is a GGA-PBE calculation of a relaxed H2PdRh crystal, from the Alexandria database.

Computed properties:
Distance to the lowest polymorph of the same formula (meV per atom): 22
E_tot (eV for the cell shown): -19.25

The structure in CIF format:
```
data_H2PdRh
_symmetry_space_group_name_H-M 'P 3 m 1'
_symmetry_Int_Tables_number 156
_cell_length_a 2.8904
_cell_length_b 2.8904
_cell_length_c 5.1075
_cell_angle_alpha 90.00
_cell_angle_beta 90.00
_cell_angle_gamma 120.00
loop_
_symmetry_equiv_pos_as_xyz
'x,y,z'
'-y,x-y,z'
'-x+y,-x,z'
'-y,-x,z'
'-x+y,y,z'
'x,x-y,z'
loop_
_atom_site_label
_atom_site_fract_x
_atom_site_fract_y
_atom_site_fract_z
H1 0.0000 0.0000 0.0000
H2 0.3333 0.6667 0.5165
Pd1 0.3333 0.6667 0.1585
Rh1 0.0000 0.0000 0.6610
```

Entry 7:
The following is a GGA-PBE calculation of a relaxed HPdRh2 crystal, from the Alexandria database.

Computed properties:
Distance to the lowest polymorph of the same formula (meV per atom): 0
E_tot (eV for the cell shown): -68.90

The structure in CIF format:
```
data_HPdRh2
_symmetry_space_group_name_H-M 'R -3 m'
_symmetry_Int_Tables_number 166
_symmetry_space_group_name_Hall '-R 3 2"'
_cell_length_a 2.7866
_cell_length_b 2.7866
_cell_length_c 20.5640
_cell_angle_alpha 90.00
_cell_angle_beta 90.00
_cell_angle_gamma 120.00
loop_
_atom_site_label
_atom_site_fract_x
_atom_site_fract_y
_atom_site_fract_z
H1 0.0000 0.0000 0.0000
Pd1 0.0000 0.0000 0.5000
Rh1 0.0000 0.0000 0.2761
```

Entry 8:
The following is a GGA-PBE calculation of a relaxed H6PdRh2 crystal, from the Alexandria database.

Computed properties:
Distance to the lowest polymorph of the same formula (meV per atom): 0
E_tot (eV for the cell shown): -79.34

The structure in CIF format:
```
data_H6PdRh2
_symmetry_space_group_name_H-M 'C 1 2/m 1'
_symmetry_Int_Tables_number 12
_cell_length_a 10.0925
_cell_length_b 2.9223
_cell_length_c 4.9529
_cell_angle_alpha 90.00
_cell_angle_beta 118.99
_cell_angle_gamma 90.00
loop_
_symmetry_equiv_pos_as_xyz
'x,y,z'
'-x,-y,-z'
'-x,y,-z'
'x,-y,z'
'x+1/2,y+1/2,z'
'-x+1/2,-y+1/2,-z'
'-x+1/2,y+1/2,-z'
'x+1/2,-y+1/2,z'
loop_
_atom_site_label
_atom_site_fract_x
_atom_site_fract_y
_atom_site_fract_z
H1 0.0011 0.0000 0.3557
H2 0.1616 0.5000 0.8919
H3 0.1638 0.5000 0.4389
Pd1 0.0000 0.0000 0.0000
Rh1 0.1900 0.0000 0.6909
```

Entry 9:
The following is a GGA-PBE calculation of a relaxed H4PdRh crystal, from the Alexandria database.

Computed properties:
Distance to the lowest polymorph of the same formula (meV per atom): 14
E_tot (eV for the cell shown): -51.39

The structure in CIF format:
```
data_H4PdRh
_symmetry_space_group_name_H-M 'P -1'
_symmetry_Int_Tables_number 2
_cell_length_a 4.6914
_cell_length_b 4.8507
_cell_length_c 5.1497
_cell_angle_alpha 84.45
_cell_angle_beta 69.07
_cell_angle_gamma 83.81
loop_
_symmetry_equiv_pos_as_xyz
'x,y,z'
'-x,-y,-z'
loop_
_atom_site_label
_atom_site_fract_x
_atom_site_fract_y
_atom_site_fract_z
H1 0.0110 0.4087 0.2150
H2 0.2395 0.1167 0.5503
H3 0.2480 0.9084 0.9782
H4 0.4806 0.3833 0.7288
Pd1 0.3735 0.7499 0.6264
Rh1 0.1187 0.2498 0.8812
```

Entry 10:
The following is a GGA-PBE calculation of a relaxed H3PdRh crystal, from the Alexandria database.

Computed properties:
Distance to the lowest polymorph of the same formula (meV per atom): 0
E_tot (eV for the cell shown): -91.04

The structure in CIF format:
```
data_H3PdRh
_symmetry_space_group_name_H-M 'P 1'
_symmetry_Int_Tables_number 1
_cell_length_a 4.2976
_cell_length_b 4.3009
_cell_length_c 8.6194
_cell_angle_alpha 89.92
_cell_angle_beta 89.96
_cell_angle_gamma 89.96
loop_
_symmetry_equiv_pos_as_xyz
'x,y,z'
loop_
_atom_site_label
_atom_site_fract_x
_atom_site_fract_y
_atom_site_fract_z
H1 0.0000 0.0000 0.0000
H2 0.9995 0.9998 0.2431
H3 0.4987 0.0004 0.2337
H4 0.4986 0.0001 0.7571
H5 0.4986 0.0008 0.5134
H6 0.4992 0.4997 0.0000
H7 0.4986 0.5009 0.5302
H8 0.5006 0.5002 0.2432
H9 0.9982 0.5003 0.7531
H10 0.9988 0.0010 0.5302
H11 0.9993 0.5009 0.0198
H12 0.9990 0.5007 0.5103
Pd1 0.2473 0.2523 0.3767
Pd2 0.2488 0.2508 0.8763
Pd3 0.7492 0.7505 0.8765
Pd4 0.7505 0.7491 0.3769
Rh1 0.2493 0.7513 0.6324
Rh2 0.2516 0.7522 0.1242
Rh3 0.7472 0.2479 0.1240
Rh4 0.7481 0.2501 0.6323
```